Here is AlSiN2 after structural relaxation from Alexandria via LeMat-Bulk. Energies are from PBE-GGA.

The value obtained for the distance to the lowest polymorph of the same formula is 0 meV/atom. The calculation puts the energy relative to the elements, uncorrected at -2.96 eV/f.u. For the calculated volume, the calculation gives 80.3 Å³/cell. The density of states at the Fermi level comes out at 0.27 states/eV/atom. As for the magnetic moment: 0.00 μB/f.u. The calculation puts the calculated total energy at -57.555 eV for the cell shown.

CIF file:
```
data_AlSiN2
_cell_length_a 5.250
_cell_length_b 5.250
_cell_length_c 5.250
_cell_angle_alpha 131.13
_cell_angle_beta 131.13
_cell_angle_gamma 71.61
_space_group_name_H-M_alt 'P 1'
_space_group_IT_number 1
loop_
_space_group_symop_operation_xyz
'x,y,z'
loop_
_atom_site_label
_atom_site_fract_x
_atom_site_fract_y
_atom_site_fract_z
Al1 0.000 0.000 0.000
Al2 0.750 0.250 0.500
Si1 0.250 0.750 0.500
Si2 0.500 0.500 0.000
N1 0.151 0.625 0.026
N2 0.375 0.401 0.526
N3 0.599 0.125 0.974
N4 0.875 0.849 0.474
```